(1)
Compound: CsP2RuCl
Source: Alexandria via LeMat-Bulk
Functional: PBE
Structure: optimized geometry

abc: 4.5382 4.5382 6.6920
angles: 90.00 90.00 90.00
Closest atoms and distances in Å follow each position.
Element x y z (fractional)
Cs: 0.0000 0.0000 0.0000  4 Cl 3.21
P: 0.0000 0.5000 0.5000  2 Ru 2.27
P: 0.5000 0.0000 0.5000  2 Ru 2.27
Ru: 0.5000 0.5000 0.5000  4 P 2.27
Cl: 0.5000 0.5000 0.0000  4 Cs 3.21, 2 Ru 3.35

Summary:
- energy relative to the lowest polymorph listed for this composition (meV per atom) = 0
- symmetry = P4/mmm
- energy relative to the elements, uncorrected (eV/atom) = -0.211

***

(2)
Compound: Tm12ZnNi6
Source: Alexandria via LeMat-Bulk
Functional: PBE
Structure: optimized geometry

abc: 8.0667 8.0667 8.0667
angles: 103.53 103.53 103.53
Closest atoms and distances in Å follow each position.
Element x y z (fractional)
Tm: 0.0752 0.3306 0.9247  2 Ni 2.58-2.66, 1 Zn 2.83
Tm: 0.0753 0.9248 0.6694  2 Ni 2.58-2.66, 1 Zn 2.83
Tm: 0.1694 0.5508 0.4089  4 Ni 2.75-2.96
Tm: 0.3306 0.9247 0.0752  2 Ni 2.58-2.66, 1 Zn 2.83
Tm: 0.4089 0.1694 0.5508  4 Ni 2.75-2.96
Tm: 0.4492 0.5911 0.8306  4 Ni 2.75-2.96
Tm: 0.5508 0.4089 0.1694  4 Ni 2.75-2.96
Tm: 0.5911 0.8306 0.4492  4 Ni 2.75-2.96
Tm: 0.6694 0.0753 0.9248  2 Ni 2.58-2.66, 1 Zn 2.83
Tm: 0.8306 0.4492 0.5911  4 Ni 2.75-2.96
Tm: 0.9247 0.0752 0.3306  2 Ni 2.58-2.66, 1 Zn 2.83
Tm: 0.9248 0.6694 0.0753  2 Ni 2.58-2.66, 1 Zn 2.83
Zn: 0.0000 0.0000 0.0000  6 Tm 2.83
Ni: 0.1460 0.3167 0.6172  5 Tm 2.58-2.81
Ni: 0.3167 0.6172 0.1460  5 Tm 2.58-2.81
Ni: 0.3828 0.8540 0.6833  5 Tm 2.58-2.81
Ni: 0.6172 0.1460 0.3167  5 Tm 2.58-2.81
Ni: 0.6833 0.3828 0.8540  5 Tm 2.58-2.81
Ni: 0.8540 0.6833 0.3828  5 Tm 2.58-2.81

Summary:
- energy relative to the lowest polymorph listed for this composition (meV per atom) = 177
- symmetry = R-3
- formation energy (eV/atom) = -0.168

***

(3)
Compound: BaIn4Ag2
Source: Alexandria via LeMat-Bulk
Functional: PBE
Structure: optimized geometry

abc: 19.4390 4.9507 7.6409
angles: 90.00 90.00 90.00
Closest atoms and distances in Å follow each position.
Element x y z (fractional)
Ba: 0.1349 0.2500 0.0112  10 In 3.52-3.90, 5 Ag 3.61-3.93
Ba: 0.3651 0.7500 0.5112  10 In 3.52-3.90, 5 Ag 3.61-3.93
Ba: 0.6349 0.2500 0.4888  10 In 3.52-3.90, 5 Ag 3.61-3.93
Ba: 0.8651 0.7500 0.9888  10 In 3.52-3.90, 5 Ag 3.61-3.93
In: 0.0363 0.7500 0.8015  2 Ag 2.90, 2 In 3.11-3.16
In: 0.0753 0.2500 0.4987  4 Ag 2.87-3.19, 1 In 3.16
In: 0.1856 0.7500 0.3218  4 Ag 2.90-3.00, 1 In 2.99
In: 0.1926 0.7500 0.7133  3 Ag 2.87-2.94, 2 In 2.99-3.11
In: 0.3074 0.2500 0.2133  3 Ag 2.87-2.94, 2 In 2.99-3.11
In: 0.3144 0.2500 0.8218  4 Ag 2.90-3.00, 1 In 2.99
In: 0.4247 0.7500 0.9987  4 Ag 2.87-3.19, 1 In 3.16
In: 0.4637 0.2500 0.3015  2 Ag 2.90, 2 In 3.11-3.16
In: 0.5363 0.7500 0.6985  2 Ag 2.90, 2 In 3.11-3.16
In: 0.5753 0.2500 0.0013  4 Ag 2.87-3.19, 1 In 3.16
In: 0.6856 0.7500 0.1782  4 Ag 2.90-3.00, 1 In 2.99
In: 0.6926 0.7500 0.7867  3 Ag 2.87-2.94, 2 In 2.99-3.11
In: 0.8074 0.2500 0.2867  3 Ag 2.87-2.94, 2 In 2.99-3.11
In: 0.8144 0.2500 0.6782  4 Ag 2.90-3.00, 1 In 2.99
In: 0.9247 0.7500 0.5013  4 Ag 2.87-3.19, 1 In 3.16
In: 0.9637 0.2500 0.1985  2 Ag 2.90, 2 In 3.11-3.16
Ag: 0.0387 0.7500 0.2526  6 In 2.90-3.19
Ag: 0.2227 0.2500 0.5216  7 In 2.87-3.00
Ag: 0.2773 0.7500 0.0216  7 In 2.87-3.00
Ag: 0.4613 0.2500 0.7526  6 In 2.90-3.19
Ag: 0.5387 0.7500 0.2474  6 In 2.90-3.19
Ag: 0.7227 0.2500 0.9784  7 In 2.87-3.00
Ag: 0.7773 0.7500 0.4784  7 In 2.87-3.00
Ag: 0.9613 0.2500 0.7474  6 In 2.90-3.19

Summary:
- energy relative to the lowest polymorph listed for this composition (meV per atom) = 0
- symmetry = Pnma
- formation energy (eV/atom) = -0.249

***

(4)
Compound: FeRe2Pd
Source: Alexandria via LeMat-Bulk
Functional: PBE
Structure: optimized geometry

abc: 6.1212 6.1212 6.1212
angles: 90.00 90.00 90.00
Closest atoms and distances in Å follow each position.
Element x y z (fractional)
Fe: 0.0000 0.0000 0.0000  8 Re 2.65
Fe: 0.0000 0.5000 0.5000  8 Re 2.65
Fe: 0.5000 0.0000 0.5000  8 Re 2.65
Fe: 0.5000 0.5000 0.0000  8 Re 2.65
Re: 0.2500 0.2500 0.2500  4 Fe 2.65, 4 Pd 2.65
Re: 0.2500 0.2500 0.7500  4 Fe 2.65, 4 Pd 2.65
Re: 0.2500 0.7500 0.2500  4 Fe 2.65, 4 Pd 2.65
Re: 0.2500 0.7500 0.7500  4 Fe 2.65, 4 Pd 2.65
Re: 0.7500 0.2500 0.2500  4 Fe 2.65, 4 Pd 2.65
Re: 0.7500 0.2500 0.7500  4 Fe 2.65, 4 Pd 2.65
Re: 0.7500 0.7500 0.2500  4 Fe 2.65, 4 Pd 2.65
Re: 0.7500 0.7500 0.7500  4 Fe 2.65, 4 Pd 2.65
Pd: 0.0000 0.0000 0.5000  8 Re 2.65
Pd: 0.0000 0.5000 0.0000  8 Re 2.65
Pd: 0.5000 0.0000 0.0000  8 Re 2.65
Pd: 0.5000 0.5000 0.5000  8 Re 2.65

Summary:
- energy relative to the lowest polymorph listed for this composition (meV per atom) = 370
- symmetry = Fm-3m
- formation energy (eV/atom) = 0.501